The following is a DFT calculation (SCAN) of BaLa2Cd at its PBEsol-relaxed geometry.

Cell lengths 6.250, 6.250, 6.250 Å; angles 132.41, 132.41, 69.58 degrees
Fractional positions:
Ba: 0.000 0.000 0.000
La: 0.250 0.750 0.500
La: 0.750 0.250 0.500
Cd: 0.500 0.500 0.000

V in Å³ per cell: 130.57
DFT formation energy in eV per atom: -0.01
Magnetization in μB/atom: 0.000